Record 1
DFT (PBE) results for a relaxed structure of La2AlInIr.

Computed properties:
- ΔE_f (eV per formula unit) = -2.59
- volume (A^3/atom) = 29.89
- energy (eV/atom) = -5.5582

Cell lengths 5.562, 5.562, 4.831 Å; angles 90.00, 90.00, 90.00 degrees
Element x y z (fractional)
Ir 0.000 0.000 0.000
La 0.000 0.500 0.000
La 0.500 0.000 0.000
Al 0.000 0.000 0.500
In 0.500 0.500 0.500

Record 2
DFT (PBE) results for a relaxed structure of TmTiFeRh.

Computed properties:
- ΔE_f (eV per formula unit) = -1.60
- volume (A^3/atom) = 16.16
- energy (eV/atom) = -7.4456

Cell lengths 4.505, 4.505, 4.505 Å; angles 60.00, 60.00, 60.00 degrees
Last column: magnetic moment on the atom in μB.
Element x y z (fractional)
Ti 0.250 0.250 0.250  -0.28
Fe 0.000 0.000 0.000  0.56
Tm 0.750 0.750 0.750  -0.10
Rh 0.500 0.500 0.500  0.06

> The highest volume belongs to which entry?

La2AlInIr

> ΔE_f of number 1 (La2AlInIr)?

-2.59 eV per formula unit

> What is the volume in the second record?

16.16 A^3/atom

> Which of these has the lowest energy?

TmTiFeRh